{
  "formula": "ZnReN2F",
  "functional": "GGA-PBE",
  "state": "relaxed",
  "lattice_angstrom": [[3.887, 0.000, 0.000], [0.000, 3.887, 0.000], [0.000, 0.000, 4.196]],
  "species": ["Zn", "Re", "N", "N", "F"],
  "frac_coords": [[0.000, 0.000, 0.000], [0.500, 0.500, 0.500], [0.000, 0.500, 0.500], [0.500, 0.000, 0.500], [0.500, 0.500, 0.000]],
  "sg": "No. 123",
  "dos_at_fermi_per_ev_cell": 2.5,
  "raw_formation_energy_ev_per_atom": 0.094,
  "total_energy_ev_per_atom": -6.35,
  "magnetic_moment_mub_per_fu": 0.000,
  "polymorph_energy_mev_per_atom": 0.0
}